This record from Alexandria describes crystalline Ce2WS6 at its relaxed geometry. The functional is GGA-PBE.

Summary:
Uncorrected formation energy   -110.4 kJ per mole of atoms
SG   No. 136
Fermi-level density of states   0.919 states/eV per atom
Size of the total moment   0.233 μB per atom

```
data_Ce2WS6
_chemical_formula_sum 'Ce4 W2 S12'
_space_group_name_H-M_alt 'P 1'
_space_group_IT_number 1
_space_group_name_Hall 'P 1'
_cell_length_a 6.2249
_cell_length_b 6.2249
_cell_length_c 11.7532
_cell_angle_alpha 90.00
_cell_angle_beta 90.00
_cell_angle_gamma 90.00
loop_
_atom_site_label
_atom_site_type_symbol
_atom_site_fract_x
_atom_site_fract_y
_atom_site_fract_z
_atom_site_occupancy
Ce1 Ce 0.0000 0.0000 0.3264 1
Ce2 Ce 0.5000 0.5000 0.8264 1
Ce3 Ce 0.5000 0.5000 0.1736 1
Ce4 Ce 0.0000 0.0000 0.6736 1
W1 W 0.0000 0.0000 0.0000 1
W2 W 0.5000 0.5000 0.5000 1
S1 S 0.3083 0.3083 0.3557 1
S2 S 0.6917 0.6917 0.3557 1
S3 S 0.1917 0.8083 0.8557 1
S4 S 0.8083 0.1917 0.8557 1
S5 S 0.1917 0.8083 0.1443 1
S6 S 0.8083 0.1917 0.1443 1
S7 S 0.3083 0.3083 0.6443 1
S8 S 0.6917 0.6917 0.6443 1
S9 S 0.2819 0.2819 0.0000 1
S10 S 0.7181 0.7181 0.0000 1
S11 S 0.2181 0.7819 0.5000 1
S12 S 0.7819 0.2181 0.5000 1
```